# 1
The following is a GGA-PBE calculation of an optimized crystal structure of NbCr2Au, from the Alexandria database.

Cell lengths 3.825, 3.825, 18.268 Å; angles 90.00, 90.00, 90.00 degrees
Space group I-42d (No. 122)
Inequivalent atoms, fractional coordinates:
1 Nb 0.000 0.000 0.000 x4
2 Cr 0.184 0.250 0.125 x8
3 Au 0.000 0.000 0.500 x4

Output
Formation energy (kJ/mol of atoms): 76
Energy above the lowest structure with this stoichiometry (eV/atom): 0.543
VASP energy (eV per formula unit): -29.423

***

# 2
The following is a GGA-PBE calculation of an optimized crystal structure of Nb2CrAu2, from the Alexandria database.

Cell lengths 6.577, 6.577, 4.210 Å; angles 90.00, 90.00, 90.00 degrees
Space group P4/mbm (No. 127)
Inequivalent atoms, fractional coordinates:
1 Nb 0.153 0.347 0.000 x4
2 Cr 0.000 0.000 0.000 x2
3 Au 0.153 0.653 0.500 x4

Output
Formation energy (kJ/mol of atoms): 43
Energy above the lowest structure with this stoichiometry (eV/atom): 0.000
VASP energy (eV per formula unit): -34.082

***

# 3
The following is a GGA-PBE calculation of an optimized crystal structure of NbCr2Au2, from the Alexandria database.

Cell lengths 7.425, 7.425, 2.883 Å; angles 90.00, 90.00, 90.00 degrees
Space group P4/mbm (No. 127)
Inequivalent atoms, fractional coordinates:
1 Nb 0.000 0.000 0.000 x2
2 Cr 0.095 0.405 0.000 x4
3 Au 0.194 0.694 0.500 x4

Output
Formation energy (kJ/mol of atoms): 34
Energy above the lowest structure with this stoichiometry (eV/atom): 0.000
VASP energy (eV per formula unit): -34.087

***

# 4
The following is a GGA-PBE calculation of an optimized crystal structure of NbCr2Au2, from the Alexandria database.

Cell lengths 3.853, 3.853, 11.167 Å; angles 90.00, 90.00, 90.00 degrees
Space group I4/mmm (No. 139)
Inequivalent atoms, fractional coordinates:
1 Nb 0.000 0.000 0.000 x2
2 Cr 0.000 0.000 0.415 x4
3 Au 0.000 0.500 0.250 x4

Output
Formation energy (kJ/mol of atoms): 35
Energy above the lowest structure with this stoichiometry (eV/atom): 0.011
VASP energy (eV per formula unit): -34.034

***

# 5
The following is a GGA-PBE calculation of an optimized crystal structure of NbCrAu2, from the Alexandria database.

Cell lengths 6.547, 6.547, 6.547 Å; angles 90.00, 90.00, 90.00 degrees
Space group Fm-3m (No. 225)
Inequivalent atoms, fractional coordinates:
1 Nb 0.000 0.000 0.000 x4
2 Cr 0.000 0.000 0.500 x4
3 Au 0.250 0.250 0.250 x8

Output
Formation energy (kJ/mol of atoms): 14
Energy above the lowest structure with this stoichiometry (eV/atom): 0.000
VASP energy (eV per formula unit): -25.679

***

# 6
The following is a GGA-PBE calculation of an optimized crystal structure of Nb3CrAu, from the Alexandria database.

Cell lengths 4.590, 4.590, 4.590 Å; angles 90.00, 90.00, 90.00 degrees
Space group Pm-3m (No. 221)
Inequivalent atoms, fractional coordinates:
1 Nb 0.000 0.000 0.500 x3
2 Cr 0.000 0.000 0.000 x1
3 Au 0.500 0.500 0.500 x1

Output
Formation energy (kJ/mol of atoms): 73
Energy above the lowest structure with this stoichiometry (eV/atom): 0.000
VASP energy (eV per formula unit): -39.311

***

# 7
The following is a GGA-PBE calculation of an optimized crystal structure of Nb2CrAu2, from the Alexandria database.

Cell lengths 3.666, 3.666, 14.199 Å; angles 90.00, 90.00, 90.00 degrees
Space group I4/mmm (No. 139)
Inequivalent atoms, fractional coordinates:
1 Nb 0.000 0.000 0.087 x4
2 Cr 0.000 0.000 0.500 x2
3 Au 0.000 0.500 0.250 x4

Output
Formation energy (kJ/mol of atoms): 64
Energy above the lowest structure with this stoichiometry (eV/atom): 0.221
VASP energy (eV per formula unit): -32.979

***

# 8
The following is a GGA-PBE calculation of an optimized crystal structure of NbCr2Au, from the Alexandria database.

Cell lengths 6.270, 6.270, 6.270 Å; angles 90.00, 90.00, 90.00 degrees
Space group Fm-3m (No. 225)
Inequivalent atoms, fractional coordinates:
1 Nb 0.000 0.000 0.000 x4
2 Cr 0.250 0.250 0.250 x8
3 Au 0.000 0.000 0.500 x4

Output
Formation energy (kJ/mol of atoms): 24
Energy above the lowest structure with this stoichiometry (eV/atom): 0.000
VASP energy (eV per formula unit): -31.595

***

# 9
The following is a GGA-PBE calculation of an optimized crystal structure of Nb3CrAu, from the Alexandria database.

Cell lengths 4.971, 4.971, 4.971 Å; angles 90.00, 90.00, 90.00 degrees
Space group Pm-3m (No. 221)
Inequivalent atoms, fractional coordinates:
1 Nb 0.000 0.000 0.500 x3
2 Cr 0.500 0.500 0.500 x1
3 Au 0.000 0.000 0.000 x1

Output
Formation energy (kJ/mol of atoms): 170
Energy above the lowest structure with this stoichiometry (eV/atom): 1.005
VASP energy (eV per formula unit): -34.287

***

# 10
The following is a GGA-PBE calculation of an optimized crystal structure of NbCrNiAu2, from the Alexandria database.

Cell lengths 4.780, 4.780, 4.405 Å; angles 90.00, 90.00, 90.00 degrees
Space group P4/mmm (No. 123)
Inequivalent atoms, fractional coordinates:
1 Nb 0.000 0.000 0.000 x1
2 Cr 0.500 0.500 0.000 x1
3 Ni 0.000 0.000 0.500 x1
4 Au 0.000 0.500 0.500 x2

Output
Formation energy (kJ/mol of atoms): 77
VASP energy (eV per formula unit): -28.023

***

# 11
The following is a GGA-PBE calculation of an optimized crystal structure of NbCrOs2Au, from the Alexandria database.

Cell lengths 4.694, 4.694, 5.021 Å; angles 90.00, 90.00, 90.00 degrees
Space group P4/mmm (No. 123)
Inequivalent atoms, fractional coordinates:
1 Nb 0.000 0.000 0.000 x1
2 Cr 0.500 0.500 0.500 x1
3 Os 0.000 0.500 0.000 x2
4 Au 0.000 0.000 0.500 x1

Output
Formation energy (kJ/mol of atoms): 226
VASP energy (eV per formula unit): -33.724

***

# 12
The following is a GGA-PBE calculation of an optimized crystal structure of Nb2CrTcAu, from the Alexandria database.

Cell lengths 4.808, 4.808, 4.393 Å; angles 90.00, 90.00, 90.00 degrees
Space group P4/mmm (No. 123)
Inequivalent atoms, fractional coordinates:
1 Nb 0.000 0.500 0.000 x2
2 Cr 0.000 0.000 0.500 x1
3 Tc 0.000 0.000 0.000 x1
4 Au 0.500 0.500 0.500 x1

Output
Formation energy (kJ/mol of atoms): 108
VASP energy (eV per formula unit): -37.824

***

Q: What is the formula in the seventh record?
A: Nb2CrAu2

***

Q: Which of these has the lowest formation energy?
A: NbCrAu2